# 1
PPd6S2, relaxed, DFT GGA-PBE; theoretical density = 7.64 g/cm3; E_form (uncorrected) = -0.24 eV/atom
1.0
6.5091 -1.9210 0.0000
6.5091 1.9210 0.0000
-3.5982 0.0000 6.3748
P Pd S
1 6 2
Direct
0.0000 0.0000 0.0000
0.0316 0.0316 0.3377
0.2796 0.2796 0.3969
0.3802 0.3802 0.8726
0.6198 0.6198 0.1274
0.7204 0.7204 0.6031
0.9684 0.9684 0.6623
0.1644 0.1644 0.7174
0.8356 0.8356 0.2826

***

# 2
MgNp2Tl3Se6, relaxed, DFT GGA-PBE; theoretical density = 7.61 g/cm3; E_form (uncorrected) = -0.89 eV/atom
1.0
3.5841 -6.2070 0.0000
3.5841 6.2070 0.0000
-2.3906 0.0000 7.7715
Mg Np Tl Se
1 2 3 6
Direct
0.0000 0.0000 0.0000
0.3335 0.6665 0.0000
0.6665 0.3335 0.0000
0.1681 0.8319 0.5000
0.5000 0.5000 0.5000
0.8319 0.1681 0.5000
0.0667 0.3968 0.2003
0.2632 0.2632 0.7992
0.3968 0.0667 0.2003
0.6032 0.9333 0.7997
0.7368 0.7368 0.2008
0.9333 0.6032 0.7997